Entry from the Alexandria database: an optimized crystal structure of La3TbSb4 (GGA-PBE).

a b c (Å): 4.5757 7.9147 7.9147
angles (deg): 109.48 90.00 90.00
Atoms (fractional coordinates):
La: 0.0000 0.0000 0.5000
La: 0.0000 0.5000 0.0000
La: 0.5000 0.5000 0.5000
Sb: 0.0000 0.2419 0.2419
Sb: 0.5000 0.7541 0.2459
Sb: 0.5000 0.2459 0.7541
Sb: 0.0000 0.7581 0.7581
Tb: 0.5000 0.0000 0.0000

Values from the calculation:
Crystal system: orthorhombic
Raw total energy: -5.7245 eV per atom
Formation energy without anion corrections: -1.2367 eV/atom
Theoretical density: 6.53 g/cm3
DOS(E_F): 0.114 states/eV/atom